1.
A relaxed Cu2SiRu crystal, computed with PBE.

a b c (Å): 4.161 4.161 4.161
angles (deg): 121.35 121.35 87.68
Fractional positions:
1 Cu 0.000 0.000 0.000
2 Cu 0.750 0.250 0.500
3 Ru 0.500 0.500 0.000
4 Si 0.250 0.750 0.500

=====

2.
A relaxed Cu2SiRu crystal, computed with PBE.

a b c (Å): 4.535 4.535 4.367
angles (deg): 70.67 70.67 37.25
Fractional positions:
1 Cu 0.986 0.986 0.952
2 Cu 0.740 0.740 0.803
3 Ru 0.519 0.519 0.427
4 Si 0.256 0.256 0.318

=====

3.
A relaxed Cu2SiRu crystal, computed with PBE.

a b c (Å): 8.429 8.429 8.429
angles (deg): 18.31 18.31 18.31
Fractional positions:
1 Cu 0.005 0.005 0.005
2 Cu 0.495 0.495 0.495
3 Ru 0.250 0.250 0.250
4 Si 0.750 0.750 0.750

=====

4.
A relaxed Cu2SiRu crystal, computed with PBE.

a b c (Å): 3.621 2.819 5.217
angles (deg): 74.32 90.00 90.00
Fractional positions:
1 Cu 0.000 0.802 0.020
2 Cu 0.500 0.203 0.220
3 Ru 0.000 0.541 0.546
4 Si 0.500 0.955 0.715

=====

5.
A relaxed Cu2SiRu crystal, computed with PBE.

a b c (Å): 2.695 2.695 8.049
angles (deg): 90.00 90.00 115.27
Fractional positions:
1 Cu 0.000 0.000 0.991
2 Cu 0.500 0.500 0.244
3 Ru 0.000 0.000 0.517
4 Si 0.500 0.500 0.748

=====

6.
A relaxed Cu2SiRu crystal, computed with PBE.

a b c (Å): 4.819 4.819 4.819
angles (deg): 137.35 137.35 61.89
Fractional positions:
1 Cu 0.000 0.000 0.000
2 Cu 0.500 0.500 0.000
3 Ru 0.250 0.750 0.500
4 Si 0.750 0.250 0.500

=====

7.
A relaxed Cu2Si2Ru crystal, computed with PBE.

a b c (Å): 6.303 6.303 3.329
angles (deg): 90.00 90.00 90.00
Fractional positions:
1 Ru 0.000 0.000 0.000
2 Ru 0.500 0.500 0.000
3 Si 0.353 0.853 0.000
4 Si 0.853 0.647 0.000
5 Si 0.647 0.147 0.000
6 Si 0.147 0.353 0.000
7 Cu 0.148 0.648 0.500
8 Cu 0.648 0.852 0.500
9 Cu 0.852 0.352 0.500
10 Cu 0.352 0.148 0.500

=====

8.
A relaxed CuSiRu crystal, computed with PBE.

Properties
E above lowest polymorph = 1.101 kcal/mol of atoms

a b c (Å): 4.839 4.839 4.839
angles (deg): 144.27 144.27 51.42
Fractional positions:
1 Cu 0.011 0.011 0.000
2 Ru 0.315 0.315 0.000
3 Si 0.674 0.674 0.000

=====

9.
A relaxed Cu2SiRu crystal, computed with PBE.

a b c (Å): 3.553 3.553 3.956
angles (deg): 90.00 90.00 90.00
Fractional positions:
1 Cu 0.000 0.000 0.000
2 Cu 0.500 0.500 0.000
3 Ru 0.500 0.000 0.500
4 Si 0.000 0.500 0.500

=====

10.
A relaxed CuSiRu crystal, computed with PBE.

Properties
E above lowest polymorph = 8.175 kcal/mol of atoms

a b c (Å): 6.150 5.913 2.779
angles (deg): 81.49 71.96 26.55
Fractional positions:
1 Cu 0.009 0.009 0.991
2 Ru 0.321 0.321 0.679
3 Si 0.671 0.671 0.329

=====

11.
A relaxed CuSi4Ru5 crystal, computed with PBE.

a b c (Å): 2.934 2.934 14.868
angles (deg): 90.00 90.00 90.00
Fractional positions:
1 Cu 0.000 0.000 0.000
2 Si 0.000 0.000 0.199
3 Si 0.000 0.000 0.400
4 Si 0.000 0.000 0.600
5 Si 0.000 0.000 0.801
6 Ru 0.500 0.500 0.111
7 Ru 0.500 0.500 0.304
8 Ru 0.500 0.500 0.500
9 Ru 0.500 0.500 0.696
10 Ru 0.500 0.500 0.889

=====

12.
A relaxed Cu2SiRu crystal, computed with PBE.

a b c (Å): 3.237 3.237 4.997
angles (deg): 90.00 90.00 90.00
Fractional positions:
1 Cu 0.000 0.000 0.995
2 Cu 0.000 0.000 0.505
3 Ru 0.500 0.500 0.250
4 Si 0.500 0.500 0.750

=====

| no. | uncorrected formation energy (eV/f.u.) |
| --- | --- |
| 1 | -0.503 |
| 2 | -0.434 |
| 3 | 0.597 |
| 4 | -0.598 |
| 5 | 0.484 |
| 6 | -0.001 |
| 7 | -0.418 |
| 8 | -0.534 |
| 9 | -0.594 |
| 10 | 0.387 |
| 11 | -4.804 |
| 12 | 0.638 |